Entry from Alexandria via LeMat-Bulk: a geometry-optimized TiMnAuF2 structure (PBE+U).

Its space group is P4/mmm. The energy comes out at -29.41 eV for the cell shown.

Structure (POSCAR):
```
TiMnAuF2
1.0
-1.0940 0.6642 -3.6669
1.5314 -5.8805 -1.5220
-3.6036 -1.1622 0.8646
F Mn Au Ti
2 1 1 1
Direct
0.0000 0.0000 0.5000 F
0.5000 0.0000 0.0000 F
0.0000 0.5000 0.0000 Mn
0.5000 0.5000 0.5000 Au
0.0000 0.0000 0.0000 Ti
```